Below is a geometry-optimized TbTlAg2 structure, with properties calculated at the PBE level.

The space group is P4/mmm (No. 123) and the conventional cell measures 4.5854, 4.5854 and 4.4169 Å, with angles of 90.00, 90.00 and 90.00 degrees. The inequivalent atoms are Tb at (0.0000, 0.0000, 0.0000), Tl at (0.5000, 0.5000, 0.0000) and Ag at (0.0000, 0.5000, 0.5000).

The density of states at the Fermi level is 2.58 states/eV/cell. The relative energy among the computed polymorphs is 0.387 eV per formula unit. Its calculated formation energy is -137 meV per atom. For the total energy, the calculation gives -13.25 eV per cell.


Below is a geometry-optimized Tb3TlAg4 structure, with properties calculated at the PBE level.

The space group is Immm (No. 71) and the conventional cell measures 3.4226, 9.4593 and 12.3620 Å, with angles of 90.00, 90.00 and 90.00 degrees. The inequivalent atoms are Tb at (0.0000, 0.0000, 0.0000), Tb at (0.0000, 0.5000, 0.2161), Tl at (0.0000, 0.0000, 0.5000) and Ag at (0.0000, 0.2667, 0.3733).

The density of states at the Fermi level is 7.47 states/eV/cell. Its calculated formation energy is -96 meV per atom. For the total energy, the calculation gives -56.86 eV per cell.


Please write out number 1 again, unchanged.
Below is a geometry-optimized TbTlAg2 structure, with properties calculated at the PBE level.

The space group is P4/mmm (No. 123) and the conventional cell measures 4.5854, 4.5854 and 4.4169 Å, with angles of 90.00, 90.00 and 90.00 degrees. The inequivalent atoms are Tb at (0.0000, 0.0000, 0.0000), Tl at (0.5000, 0.5000, 0.0000) and Ag at (0.0000, 0.5000, 0.5000).

The density of states at the Fermi level is 2.58 states/eV/cell. The relative energy among the computed polymorphs is 0.387 eV per formula unit. Its calculated formation energy is -137 meV per atom. For the total energy, the calculation gives -13.25 eV per cell.


Q: Among the records above, which one has the highest calculated formation energy?
A: Tb3TlAg4


Q: What is the calculated formation energy in the second record?
A: -96 meV per atom


Q: The highest calculated formation energy belongs to which entry?
A: Tb3TlAg4